Record 1
Compound: HfZrAgIr
Source: the Alexandria database
Functional: PBE
Structure: relaxed

Output
Size of the total moment = 0.00 Bohr magnetons per cell
Formation energy from the elements = -0.422 eV per atom

a = 4.741 Å, b = 4.741 Å, c = 4.741 Å
α = 60.00°, β = 60.00°, γ = 60.00°
Atoms (fractional coordinates):
Zr1 0.000 0.000 0.000
Ir1 0.750 0.750 0.750
Hf1 0.500 0.500 0.500
Ag1 0.250 0.250 0.250

---

Record 2
Compound: YGa5Cu2Pd
Source: the Alexandria database
Functional: PBE
Structure: relaxed

Output
Size of the total moment = 0.00 Bohr magnetons per cell
Formation energy from the elements = -0.153 eV per atom

a = 4.162 Å, b = 4.162 Å, c = 10.248 Å
α = 90.00°, β = 90.00°, γ = 90.00°
Atoms (fractional coordinates):
Cu1 0.500 0.500 0.722
Cu2 0.500 0.500 0.278
Ga1 0.500 0.000 0.847
Ga2 0.000 0.500 0.153
Ga3 0.500 0.500 0.500
Ga4 0.000 0.500 0.847
Ga5 0.500 0.000 0.153
Y1 0.000 0.000 0.500
Pd1 0.000 0.000 0.000

---

Record 3
Compound: PrH8Rh2
Source: the Alexandria database
Functional: PBE
Structure: relaxed

Output
Size of the total moment = 0.00 Bohr magnetons per cell
Polymorph energy (0 for the lowest one) = 0.000 eV/atom

a = 3.704 Å, b = 5.533 Å, c = 5.580 Å
α = 60.27°, β = 90.00°, γ = 90.00°
Atoms (fractional coordinates):
H1 0.000 0.879 0.734
H2 0.000 0.613 0.266
H3 0.605 0.500 0.000
H4 0.000 0.121 0.266
H5 0.395 0.500 0.000
H6 0.500 0.248 0.505
H7 0.000 0.387 0.734
H8 0.500 0.752 0.495
Rh1 0.000 0.760 0.481
Rh2 0.000 0.240 0.519
Pr1 0.500 0.000 0.000

---

Record 4
Compound: KZnTe2I
Source: the Alexandria database
Functional: PBE
Structure: relaxed

Output
Size of the total moment = 0.00 Bohr magnetons per cell
Polymorph energy (0 for the lowest one) = 0.000 eV/atom
Energy relative to the elements, uncorrected = -0.333 eV per atom

a = 5.284 Å, b = 5.284 Å, c = 6.623 Å
α = 90.00°, β = 90.00°, γ = 90.00°
Atoms (fractional coordinates):
Zn1 0.000 0.000 0.000
Te1 0.500 0.000 0.000
Te2 0.000 0.500 0.000
K1 0.500 0.500 0.500
I1 0.000 0.000 0.500

---

Record 5
Compound: Ca3Cd8Pd4
Source: the Alexandria database
Functional: PBE
Structure: relaxed

Output
Size of the total moment = 0.00 Bohr magnetons per cell
Formation energy from the elements = -0.443 eV per atom

a = 9.700 Å, b = 9.700 Å, c = 9.700 Å
α = 60.00°, β = 60.00°, γ = 60.00°
Atoms (fractional coordinates):
Pd1 0.500 0.500 0.500
Pd2 0.000 0.500 0.000
Pd3 0.500 0.000 0.500
Pd4 0.500 0.000 0.000
Pd5 0.000 0.500 0.500
Pd6 0.000 0.000 0.500
Pd7 0.000 0.000 0.000
Pd8 0.500 0.500 0.000
Cd1 0.335 0.335 0.335
Cd2 0.335 0.995 0.335
Cd3 0.119 0.642 0.119
Cd4 0.005 0.665 0.665
Cd5 0.119 0.119 0.642
Cd6 0.881 0.881 0.881
Cd7 0.358 0.881 0.881
Cd8 0.881 0.358 0.881
Cd9 0.995 0.335 0.335
Cd10 0.665 0.005 0.665
Cd11 0.665 0.665 0.665
Cd12 0.881 0.881 0.358
Cd13 0.119 0.119 0.119
Cd14 0.335 0.335 0.995
Cd15 0.642 0.119 0.119
Cd16 0.665 0.665 0.005
Ca1 0.713 0.713 0.287
Ca2 0.287 0.713 0.287
Ca3 0.287 0.287 0.713
Ca4 0.287 0.713 0.713
Ca5 0.713 0.287 0.287
Ca6 0.713 0.287 0.713

---

Record 6
Compound: Ba3Bi3Pb
Source: the Alexandria database
Functional: PBE
Structure: relaxed

Output
Size of the total moment = 0.00 Bohr magnetons per cell
Formation energy from the elements = -0.672 eV per atom
Polymorph energy (0 for the lowest one) = 0.000 eV/atom

a = 7.637 Å, b = 11.788 Å, c = 14.794 Å
α = 90.00°, β = 90.00°, γ = 108.90°
Atoms (fractional coordinates):
Bi1 0.229 0.000 0.879
Bi2 0.941 0.330 0.871
Bi3 0.729 0.000 0.621
Bi4 0.889 0.330 0.371
Bi5 0.559 0.670 0.371
Bi6 0.441 0.330 0.629
Bi7 0.771 0.000 0.121
Bi8 0.271 0.000 0.379
Bi9 0.111 0.670 0.629
Bi10 0.611 0.670 0.871
Bi11 0.059 0.670 0.129
Bi12 0.389 0.330 0.129
Ba1 0.806 0.000 0.361
Ba2 0.978 0.349 0.628
Ba3 0.478 0.349 0.872
Ba4 0.371 0.349 0.372
Ba5 0.694 0.000 0.861
Ba6 0.522 0.651 0.128
Ba7 0.194 0.000 0.639
Ba8 0.629 0.651 0.628
Ba9 0.022 0.651 0.372
Ba10 0.306 0.000 0.139
Ba11 0.129 0.651 0.872
Ba12 0.871 0.349 0.128
Pb1 0.587 0.174 0.500
Pb2 0.913 0.826 0.000
Pb3 0.413 0.826 0.500
Pb4 0.087 0.174 0.000